Record 1
URh2Au: relaxed, PBE.

Lattice parameters (Å, degrees): 4.2759 4.2759 3.8177 90.00 90.00 90.00
Space group P4/mmm (No. 123)
Unique sites:
U 0.0000 0.0000 0.0000 (multiplicity 1)
Rh 0.0000 0.5000 0.5000 (multiplicity 2)
Au 0.5000 0.5000 0.0000 (multiplicity 1)

## Properties
Calculated total energy (eV for the cell shown): -31.33



Record 2
PuPaPd: relaxed, PBE.

Lattice parameters (Å, degrees): 3.3511 4.3772 8.3512 90.00 96.39 90.00
Space group P2_1/m (No. 11)
Unique sites:
Pu 0.1237 0.2500 0.4811 (multiplicity 2)
Pa 0.4475 0.2500 0.7708 (multiplicity 2)
Pd 0.0256 0.2500 0.1022 (multiplicity 2)

## Properties
Polymorph energy (0 for the lowest one) (meV/atom): 0



Record 3
Ta2AsOs: relaxed, PBE.

Lattice parameters (Å, degrees): 6.4180 6.4180 6.4180 90.00 90.00 90.00
Space group F-43m (No. 216)
Unique sites:
Ta 0.0000 0.0000 0.0000 (multiplicity 4)
Ta 0.2500 0.2500 0.2500 (multiplicity 4)
As 0.0000 0.0000 0.5000 (multiplicity 4)
Os 0.2500 0.2500 0.7500 (multiplicity 4)

## Properties
Calculated total energy (eV for the cell shown): -154.65



Record 4
EuAl20V2: relaxed, PBE.

Lattice parameters (Å, degrees): 14.5464 14.5464 14.5464 90.00 90.00 90.00
Space group Fd-3m (No. 227, origin choice 2)
Unique sites:
Eu 0.1250 0.1250 0.1250 (multiplicity 8)
Al 0.0000 0.0000 0.0000 (multiplicity 16)
Al 0.0137 0.3750 0.8750 (multiplicity 48)
Al 0.0586 0.0586 0.3258 (multiplicity 96)
V 0.0000 0.0000 0.5000 (multiplicity 16)

## Properties
Calculated total energy (eV for the cell shown): -863.72



Record 5
MgFe2Hg: relaxed, PBE.

Lattice parameters (Å, degrees): 5.4427 8.2347 2.8143 90.00 90.49 90.00
Space group C2/m (No. 12)
Unique sites:
Mg 0.0000 0.0000 0.0000 (multiplicity 2)
Fe 0.2500 0.2500 0.5000 (multiplicity 4)
Hg 0.0000 0.5000 0.0000 (multiplicity 2)

## Properties
Calculated total energy (eV for the cell shown): -34.94



Record 6
K2Rb2Pb15: relaxed, PBE.

Lattice parameters (Å, degrees): 11.7373 11.7373 17.0586 90.00 90.00 120.00
Space group R-3m (No. 166, hexagonal axes)
Unique sites:
K 0.0000 0.0000 0.1024 (multiplicity 6)
Rb 0.0000 0.0000 0.3494 (multiplicity 6)
Pb 0.0000 0.3056 0.0000 (multiplicity 18)
Pb 0.0000 0.5000 0.5000 (multiplicity 9)
Pb 0.0084 0.5042 0.1528 (multiplicity 18)

## Properties
Calculated total energy (eV for the cell shown): -183.77